BaCa2Mg (PBE, relaxed); ΔE_f = -0.016 eV/atom; crystal system = monoclinic
1.0
-4.178 -3.974 0.390
3.544 -3.952 -2.285
3.495 1.536 10.104
Ba Ca Mg
2 4 2
Direct
0.357 0.357 0.213
0.643 0.643 0.787
0.853 0.853 0.206
0.147 0.147 0.794
0.500 0.000 0.500
0.000 0.500 0.500
0.249 0.751 0.000
0.751 0.249 0.000

CsInSe2 (PBE, relaxed); E_form (uncorrected) = -0.53 eV/atom; crystal system = orthorhombic
1.0
-3.936 6.019 8.648
3.558 -8.951 -5.808
6.585 1.227 2.143
Cs Se In
2 4 2
Direct
0.066 0.934 0.250
0.934 0.066 0.750
0.208 0.792 0.250
0.792 0.208 0.750
0.896 0.104 0.250
0.104 0.896 0.750
0.318 0.682 0.250
0.682 0.318 0.750

MnZn2Au (PBE, relaxed); ΔE_f = 0.092 eV/atom; crystal system = trigonal
1.0
8.887 -0.097 -0.057
8.445 2.771 -0.057
8.445 1.303 2.446
Au Mn Zn
1 1 2
Direct
0.499 0.499 0.499
0.747 0.747 0.747
0.002 0.002 0.002
0.252 0.252 0.252

CuOs2Ru (PBE, relaxed); ΔE_f = 0.208 eV/atom; crystal system = trigonal
1.0
8.865 -0.006 -0.003
8.453 2.674 -0.003
8.453 1.302 2.335
Cu Os Ru
1 2 1
Direct
0.750 0.750 0.750
0.999 0.999 0.999
0.501 0.501 0.501
0.250 0.250 0.250

CrGaCo3 (PBE, relaxed); ΔE_f = 1.062 eV/atom; crystal system = cubic
1.0
4.169 0.000 0.000
0.000 4.169 0.000
0.000 0.000 4.169
Cr Co Ga
1 3 1
Direct
0.000 0.000 0.000
0.000 0.500 0.000
0.000 0.000 0.500
0.500 0.000 0.000
0.500 0.500 0.500

GaSbIrI2 (PBE, relaxed); E_form (uncorrected) = 1.27 eV/atom; crystal system = tetragonal
1.0
-2.637 4.529 -1.183
-4.356 -2.871 -1.283
-1.739 0.335 5.155
I Sb Ir Ga
2 1 1 1
Direct
0.000 0.500 0.000
0.500 0.000 0.000
0.000 0.000 0.500
0.500 0.500 0.500
0.000 0.000 0.000